Material: Li2CaPb
Method: DFT, PBEsol
State: relaxed

Cell and atoms, written as CIF:
```
data_Li2CaPb
_chemical_formula_sum 'Li2 Ca1 Pb1'
_symmetry_space_group_name_H-M 'P 1'
_symmetry_Int_Tables_number 1
_symmetry_space_group_name_Hall 'P 1'
_cell_length_a 3.604
_cell_length_b 4.879
_cell_length_c 6.074
_cell_angle_alpha 90.00
_cell_angle_beta 107.03
_cell_angle_gamma 90.00
loop_
_atom_site_label
_atom_site_fract_x
_atom_site_fract_y
_atom_site_fract_z
_atom_site_occupancy
Li1 0.000 0.000 0.000 1
Li2 0.409 0.500 0.824 1
Ca1 0.719 0.000 0.450 1
Pb1 0.120 0.500 0.250 1
```

Summary:
VASP energy: -11.2 eV for the cell shown
Space-group type: No. 6
ΔE_f: -0.273 eV per atom